(1)
A plane-wave DFT calculation with PBE-GGA was carried out for crystalline BeAl2Hg at its relaxed geometry.

abc: 2.834 4.988 9.711
angles: 90.00 90.00 90.00
Positions (direct):
Be 0.000 0.000 0.000
Be 0.500 0.500 0.500
Al 0.000 0.000 0.518
Al 0.000 0.500 0.291
Al 0.500 0.000 0.791
Al 0.500 0.500 0.018
Hg 0.000 0.500 0.724
Hg 0.500 0.000 0.224

Calculated values
Electronic total energy, eV/atom: -2.507
M_tot, μB/cell: 0.000
Relative energy among the computed polymorphs, eV/atom: 0.1074
DOS at the Fermi energy, states/eV/atom: 0.344
Formation energy, eV/atom: 0.37

(2)
A plane-wave DFT calculation with PBE-GGA was carried out for crystalline CdSiPt2 at its relaxed geometry.

abc: 3.384 3.384 5.958
angles: 90.00 90.00 90.00
Positions (direct):
Cd 0.000 0.000 0.000
Si 0.500 0.500 0.658
Pt 0.000 0.000 0.529
Pt 0.500 0.500 0.245

Calculated values
Electronic total energy, eV/atom: -4.853
M_tot, μB/cell: 0.000
Formation energy without anion corrections, eV per atom: -0.25
DOS at the Fermi energy, states/eV/atom: 0.447